# 1
Crystalline LaPa at its relaxed geometry. Source: OQMD via LeMat-Bulk, functional PBE.

abc: 4.539 4.539 4.539
angles: 60.00 60.00 60.00
Fractional coordinates of all 2 atoms:
Pa (0.250, 0.250, 0.250)
La (0.000, 0.000, 0.000)

Output
Space group = F-43m, No. 216
Calculated formation energy = 1.685 eV/atom
Total moment = 0.90 Bohr magnetons per cell

---

# 2
Crystalline Y2FeSi4Os at its relaxed geometry. Source: OQMD via LeMat-Bulk, functional PBE.

abc: 4.358 4.013 8.055
angles: 90.00 102.37 90.00
Fractional coordinates of all 8 atoms:
Si (0.178, 0.500, 0.003)
Y (0.901, 0.500, 0.298)
Y (0.085, 0.000, 0.704)
Si (0.452, 0.000, 0.398)
Si (0.533, 0.500, 0.586)
Fe (0.387, 0.000, 0.111)
Os (0.619, 0.500, 0.885)
Si (0.845, 0.000, 0.016)

Output
Space group = Pm, No. 6
Total moment = 0.00 Bohr magnetons per cell
E = -59.96 eV/cell

---

# 3
Crystalline Er2SCl4 at its relaxed geometry. Source: OQMD via LeMat-Bulk, functional PBE.

abc: 8.249 8.249 6.779
angles: 97.29 97.29 44.73
Fractional coordinates of all 14 atoms:
S (0.939, 0.061, 0.750)
Cl (0.496, 0.687, 0.920)
Cl (0.137, 0.297, 0.820)
Cl (0.504, 0.313, 0.080)
Cl (0.863, 0.703, 0.180)
Er (0.688, 0.097, 0.423)
Er (0.097, 0.688, 0.923)
Cl (0.703, 0.863, 0.680)
Cl (0.297, 0.137, 0.320)
Cl (0.313, 0.504, 0.580)
Er (0.903, 0.312, 0.077)
S (0.061, 0.939, 0.250)
Cl (0.687, 0.496, 0.420)
Er (0.312, 0.903, 0.577)

Output
Space group = C2/c, No. 15
Total moment = 0.00 Bohr magnetons per cell
E = -71.69 eV/cell

---

# 4
Crystalline TaNbIn at its relaxed geometry. Source: OQMD via LeMat-Bulk, functional PBE.

abc: 4.556 4.556 4.556
angles: 60.00 60.00 60.00
Fractional coordinates of all 3 atoms:
Nb (0.250, 0.250, 0.250)
Ta (0.750, 0.750, 0.750)
In (0.000, 0.000, 0.000)

Output
Space group = F-43m, No. 216
Total moment = 0.00 Bohr magnetons per cell
E = -21.91 eV/cell

---

Question: Which value of total moment does entry 4 give?
Answer: 0.00 Bohr magnetons per cell

---

Question: Look up the total moment of the third one.
Answer: 0.00 Bohr magnetons per cell

---

Question: total moment of number 2 (Y2FeSi4Os)?
Answer: 0.00 Bohr magnetons per cell